[1]
Compound: VGe2Br2
Source: Alexandria via LeMat-Bulk
Functional: PBE
Structure: relaxed

Unit cell a=4.581 b=4.581 c=6.921 alpha=70.67 beta=70.67 gamma=90.00
Element x y z (fractional)
Ge: 0.400 0.400 0.200
Ge: 0.600 0.600 0.800
Br: 0.750 0.250 0.500
Br: 0.250 0.750 0.500
V: 0.000 0.000 0.000

Calculated values
Calculated density, kg/m³: 4607
Total magnetic moment, Bohr magnetons per cell: 3.3
Formation energy (no corrections), eV per atom: 0.756
Space-group type: No. 139



[2]
Compound: V2Ge2Br
Source: Alexandria via LeMat-Bulk
Functional: PBE
Structure: relaxed

Unit cell a=4.618 b=4.618 c=5.587 alpha=65.59 beta=65.59 gamma=90.00
Element x y z (fractional)
Ge: 0.363 0.363 0.273
Ge: 0.637 0.637 0.727
Br: 0.000 0.000 0.000
V: 0.750 0.250 0.500
V: 0.250 0.750 0.500

Calculated values
Calculated density, kg/m³: 5617
Total magnetic moment, Bohr magnetons per cell: 2.5
Formation energy (no corrections), eV per atom: 0.306
Space-group type: No. 139



[3]
Compound: VGeBr2
Source: Alexandria via LeMat-Bulk
Functional: PBE
Structure: relaxed

Unit cell a=9.330 b=9.330 c=7.061 alpha=48.65 beta=48.65 gamma=90.00
Element x y z (fractional)
Ge: 0.000 0.000 0.000
Ge: 0.750 0.250 0.500
Br: 0.478 0.125 0.250
Br: 0.272 0.625 0.250
Br: 0.375 0.522 0.750
Br: 0.875 0.728 0.750
V: 0.500 0.500 0.000
V: 0.250 0.750 0.500

Calculated values
Calculated density, kg/m³: 4296
Total magnetic moment, Bohr magnetons per cell: 5.8
Formation energy (no corrections), eV per atom: -0.086
Space-group type: No. 122



[4]
Compound: VGeBr2
Source: Alexandria via LeMat-Bulk
Functional: PBE
Structure: relaxed

Unit cell a=10.991 b=10.991 c=10.991 alpha=18.40 beta=18.40 gamma=18.40
Element x y z (fractional)
Ge: 0.000 0.000 0.000
Br: 0.883 0.883 0.883
Br: 0.117 0.117 0.117
V: 0.500 0.500 0.500

Calculated values
Calculated density, kg/m³: 4075
Total magnetic moment, Bohr magnetons per cell: 2.8
Formation energy (no corrections), eV per atom: -0.110
Space-group type: No. 166



[5]
Compound: VGeBr3
Source: Alexandria via LeMat-Bulk
Functional: PBE
Structure: relaxed

Unit cell a=5.406 b=5.406 c=5.406 alpha=90.00 beta=90.00 gamma=90.00
Element x y z (fractional)
Ge: 0.000 0.000 0.000
Br: 0.000 0.500 0.000
Br: 0.000 0.000 0.500
Br: 0.500 0.000 0.000
V: 0.500 0.500 0.500

Calculated values
Calculated density, kg/m³: 3819
Total magnetic moment, Bohr magnetons per cell: 4.0
Formation energy (no corrections), eV per atom: 0.246
Space-group type: No. 221



[6]
Compound: VGe3Br
Source: Alexandria via LeMat-Bulk
Functional: PBE
Structure: relaxed

Unit cell a=4.866 b=4.866 c=4.866 alpha=90.00 beta=90.00 gamma=90.00
Element x y z (fractional)
Ge: 0.000 0.500 0.000
Ge: 0.000 0.000 0.500
Ge: 0.500 0.000 0.000
Br: 0.500 0.500 0.500
V: 0.000 0.000 0.000

Calculated values
Calculated density, kg/m³: 5026
Total magnetic moment, Bohr magnetons per cell: 1.1
Formation energy (no corrections), eV per atom: 0.223
Space-group type: No. 221



[7]
Compound: VGe2Br2
Source: Alexandria via LeMat-Bulk
Functional: PBE
Structure: relaxed

Unit cell a=7.142 b=7.142 c=5.215 alpha=90.00 beta=90.00 gamma=90.00
Element x y z (fractional)
Ge: 0.258 0.758 0.000
Ge: 0.758 0.742 0.000
Ge: 0.742 0.242 0.000
Ge: 0.242 0.258 0.000
Br: 0.187 0.687 0.500
Br: 0.687 0.813 0.500
Br: 0.813 0.313 0.500
Br: 0.313 0.187 0.500
V: 0.000 0.000 0.000
V: 0.500 0.500 0.000

Calculated values
Calculated density, kg/m³: 4445
Total magnetic moment, Bohr magnetons per cell: 4.6
Formation energy (no corrections), eV per atom: 0.236
Space-group type: No. 127



[8]
Compound: VGe3Br
Source: Alexandria via LeMat-Bulk
Functional: PBE
Structure: relaxed

Unit cell a=5.105 b=5.105 c=5.105 alpha=90.00 beta=90.00 gamma=90.00
Element x y z (fractional)
Ge: 0.000 0.500 0.000
Ge: 0.000 0.000 0.500
Ge: 0.500 0.000 0.000
Br: 0.000 0.000 0.000
V: 0.500 0.500 0.500

Calculated values
Calculated density, kg/m³: 4352
Total magnetic moment, Bohr magnetons per cell: 3.7
Formation energy (no corrections), eV per atom: 1.287
Space-group type: No. 221



Number 1: energy above the most stable polymorph in this dataset 2.600 eV/f.u.. Number 2: energy above the most stable polymorph in this dataset 0.000 eV/f.u.. Number 3: energy above the most stable polymorph in this dataset 0.096 eV/f.u.. Number 4: energy above the most stable polymorph in this dataset 0.000 eV/f.u.. Number 5: energy above the most stable polymorph in this dataset 1.693 eV/f.u.. Number 6: energy above the most stable polymorph in this dataset 0.000 eV/f.u.. Number 7: energy above the most stable polymorph in this dataset 0.000 eV/f.u.. Number 8: energy above the most stable polymorph in this dataset 5.321 eV/f.u..